## AlInC2 (GGA-PBE)

Data for a geometry-optimized AlInC2 structure.

Results
Its formation energy is 1.013 eV per atom. The total magnetization comes out at 0.00 μB/f.u. As for the energy above the lowest structure with this stoichiometry: 0.00 kJ per mole of atoms. The calculation puts the energy at -5.219 eV per atom.

abc: 4.6538 4.6538 6.3194
angles: 68.39 68.39 90.00
Last column: nearest neighbours and their distance in Å.
Fractional positions:
Al1 0.5000 0.5000 0.0000  4 C 2.02
Al2 0.2500 0.7500 0.5000  4 C 2.02
In1 0.0000 0.0000 0.0000  4 C 2.26
In2 0.7500 0.2500 0.5000  4 C 2.26
C1 0.8750 0.8275 0.7500  2 Al 2.02, 2 In 2.26
C2 0.3750 0.4225 0.7500  2 Al 2.02, 2 In 2.26
C3 0.5775 0.1250 0.2500  2 Al 2.02, 2 In 2.26
C4 0.1725 0.6250 0.2500  2 Al 2.02, 2 In 2.26